ZrHg2Br (PBE, optimized geometry); energy above the lowest structure with this stoichiometry = 432 meV/atom; symmetry = P4/mmm; magnetic moment = 0.000 μB per cell; formation energy (no corrections) = 46 meV per atom
1.0
4.723 0.000 0.000
0.000 4.444 0.000
0.000 0.000 4.444
Br Hg Zr
1 2 1
Cartesian
2.362 0.000 2.222
0.000 0.000 0.000
0.000 2.222 2.222
2.362 2.222 0.000